The following is a GGA-PBE calculation of a geometry-optimized Pm8Y6Tm structure, from Alexandria via LeMat-Bulk.

Lattice parameters (Å, degrees): 9.426 9.426 6.588 90.00 90.00 120.00
Fractional coordinates of all 15 atoms:
Pm 0.037 0.752 0.165
Pm 0.248 0.284 0.165
Pm 0.284 0.037 0.835
Pm 0.333 0.667 0.121
Pm 0.667 0.333 0.879
Pm 0.716 0.963 0.165
Pm 0.752 0.716 0.835
Pm 0.963 0.248 0.835
Y 0.093 0.657 0.658
Y 0.343 0.436 0.658
Y 0.436 0.093 0.342
Y 0.564 0.907 0.658
Y 0.657 0.564 0.342
Y 0.907 0.343 0.342
Tm 0.000 0.000 0.500

Values from the calculation:
Space-group type: P-3
Calculated density (kg/m3): 6102
M_tot (μB per formula unit): 0.0
Total energy (eV per cell): -78.8